# 1
A plane-wave DFT calculation with PBE was carried out for Li5Mg4In after structural relaxation.

Lattice parameters (Å, degrees): 3.3608 7.6882 7.8163 91.79 90.25 90.22
Closest atoms and distances in Å follow each position.
Fractional coordinates of all 10 atoms:
Li: 0.0000 0.0000 0.0000  4 Li 2.91, 4 Mg 2.97-2.98
Li: 0.0013 0.2122 0.5974  2 Li 2.85-2.87, 2 In 2.89-2.90, 4 Mg 2.97-2.98
Li: 0.4991 0.7162 0.1129  4 Li 2.85-2.91, 5 Mg 2.95-3.19
Li: 0.5009 0.2838 0.8871  4 Li 2.85-2.91, 5 Mg 2.95-3.19
Li: 0.9987 0.7878 0.4026  2 Li 2.85-2.87, 2 In 2.89-2.90, 4 Mg 2.97-2.98
Mg: 0.0020 0.4012 0.1792  4 Li 2.95-3.02, 2 In 3.08-3.10, 3 Mg 3.12-3.23
Mg: 0.5004 0.0881 0.3046  7 Li 2.97-3.19, 2 Mg 3.12
Mg: 0.4996 0.9119 0.6954  7 Li 2.97-3.19, 2 Mg 3.12
Mg: 0.9980 0.5988 0.8208  4 Li 2.95-3.02, 2 In 3.08-3.10, 3 Mg 3.12-3.23
In: 0.5000 0.5000 0.5000  4 Li 2.89-2.90, 4 Mg 3.08-3.10

## Properties
For the total energy, the calculation gives -19.69 eV/f.u. As for the volume: 202 Å³/cell. Its distance to the lowest polymorph of the same formula is 0.000 eV per atom. The formation enthalpy at 0 K comes out at -1.00 eV per formula unit.



# 2
A plane-wave DFT calculation with PBE was carried out for Li2Mg5In5 after structural relaxation.

Lattice parameters (Å, degrees): 5.3552 5.3552 12.2603 107.59 107.59 56.24
Closest atoms and distances in Å follow each position.
Fractional coordinates of all 12 atoms:
Li: 0.0645 0.0645 0.2859  4 In 2.86-2.95, 3 Mg 2.97-3.07
Li: 0.9355 0.9355 0.7141  4 In 2.86-2.95, 3 Mg 2.97-3.07
Mg: 0.3377 0.3377 0.4973  4 In 2.95-3.20, 1 Li 2.97, 3 Mg 3.03-3.04
Mg: 0.3680 0.3680 0.2228  6 In 3.04-3.32, 3 Li 3.07-3.21, 1 Mg 3.37
Mg: 0.5000 0.5000 0.0000  8 In 3.08-3.21, 2 Mg 3.37
Mg: 0.6320 0.6320 0.7772  6 In 3.04-3.32, 3 Li 3.07-3.21, 1 Mg 3.37
Mg: 0.6623 0.6623 0.5027  4 In 2.95-3.20, 1 Li 2.97, 3 Mg 3.03-3.04
In: 0.0000 0.0000 0.5000  2 Li 2.89, 6 Mg 2.95-3.20, 2 In 3.17
In: 0.1501 0.1501 0.9447  1 Li 2.86, 3 Mg 3.08-3.14, 2 In 3.17
In: 0.2832 0.2832 0.7328  3 Li 2.95-3.21, 5 Mg 3.04-3.21, 2 In 3.17-3.25
In: 0.7168 0.7168 0.2672  3 Li 2.95-3.21, 5 Mg 3.04-3.21, 2 In 3.17-3.25
In: 0.8499 0.8499 0.0553  1 Li 2.86, 3 Mg 3.08-3.14, 2 In 3.17

## Properties
For the total energy, the calculation gives -26.66 eV/f.u. As for the volume: 275 Å³/cell. Its distance to the lowest polymorph of the same formula is 0.038 eV per atom. The formation enthalpy at 0 K comes out at -1.16 eV per formula unit.



# 3
A plane-wave DFT calculation with PBE was carried out for Li3Mg3In2 after structural relaxation.

Lattice parameters (Å, degrees): 4.2211 4.4636 8.7487 90.00 90.00 90.00
Closest atoms and distances in Å follow each position.
Fractional coordinates of all 8 atoms:
Li: 0.0000 0.0000 0.0000  4 In 3.00, 4 Mg 3.07, 4 Li 3.13
Li: 0.0000 0.5000 0.2512  6 Mg 3.03-3.12, 4 In 3.07, 2 Li 3.13
Li: 0.0000 0.5000 0.7488  6 Mg 3.03-3.12, 4 In 3.07, 2 Li 3.13
Mg: 0.0000 0.0000 0.5000  4 Mg 3.07, 4 In 3.08, 4 Li 3.12
Mg: 0.5000 0.5000 0.0000  8 Li 3.05-3.07, 4 In 3.09
Mg: 0.5000 0.5000 0.5000  4 Li 3.03, 4 Mg 3.07, 4 In 3.16
In: 0.5000 0.0000 0.2442  6 Li 3.00-3.07, 6 Mg 3.08-3.16
In: 0.5000 0.0000 0.7558  6 Li 3.00-3.07, 6 Mg 3.08-3.16

## Properties
For the total energy, the calculation gives -17.39 eV/f.u. As for the volume: 165 Å³/cell. The formation enthalpy at 0 K comes out at -1.39 eV per formula unit.



# 4
A plane-wave DFT calculation with PBE was carried out for Li12MgIn3 after structural relaxation.

Lattice parameters (Å, degrees): 4.1619 4.1619 17.6719 90.00 90.00 90.00
Closest atoms and distances in Å follow each position.
Fractional coordinates of all 16 atoms:
Li: 0.0000 0.0000 0.0000  4 In 2.94, 8 Li 3.04
Li: 0.0000 0.0000 0.2483  4 In 2.94, 8 Li 3.00-3.01
Li: 0.0000 0.0000 0.5000  4 Mg 2.94, 8 Li 3.09
Li: 0.0000 0.0000 0.7517  4 In 2.94, 8 Li 3.00-3.01
Li: 0.0000 0.5000 0.1253  8 Li 2.94-3.04, 4 In 3.00-3.04
Li: 0.0000 0.5000 0.3708  8 Li 2.94-3.09, 2 In 3.01, 2 Mg 3.09
Li: 0.0000 0.5000 0.6292  8 Li 2.94-3.09, 2 In 3.01, 2 Mg 3.09
Li: 0.0000 0.5000 0.8747  8 Li 2.94-3.04, 4 In 3.00-3.04
Li: 0.5000 0.0000 0.1253  8 Li 2.94-3.04, 4 In 3.00-3.04
Li: 0.5000 0.0000 0.3708  8 Li 2.94-3.09, 2 In 3.01, 2 Mg 3.09
Li: 0.5000 0.0000 0.6292  8 Li 2.94-3.09, 2 In 3.01, 2 Mg 3.09
Li: 0.5000 0.0000 0.8747  8 Li 2.94-3.04, 4 In 3.00-3.04
Mg: 0.5000 0.5000 0.5000  12 Li 2.94-3.09
In: 0.5000 0.5000 0.0000  12 Li 2.94-3.04
In: 0.5000 0.5000 0.2476  12 Li 2.94-3.01
In: 0.5000 0.5000 0.7524  12 Li 2.94-3.01

## Properties
For the total energy, the calculation gives -35.28 eV/f.u. As for the volume: 306 Å³/cell. The formation enthalpy at 0 K comes out at -2.51 eV per formula unit.